Below is a relaxed structure of CeReNi, with properties calculated at the PBE level.

Geometry as extended XYZ:
```
6
Lattice="-1.840 1.840 8.054 1.840 -1.840 8.054 1.840 1.840 -8.054" Properties=species:S:1:pos:R:3 pbc="T T T"
Ce 0.000 0.000 2.840
Ce 0.000 0.000 13.268
Re 1.840 0.000 0.000
Re 0.000 1.840 0.000
Ni 0.000 0.000 6.139
Ni 0.000 0.000 9.970
```

Fermi-level density of states	1.187	states/eV per atom
formation enthalpy at 0 K	-0.01	eV per atom
E_tot	-48.4	eV for the cell shown

Below is a relaxed structure of LaCrHg2, with properties calculated at the PBE level.

Geometry as extended XYZ:
```
4
Lattice="0.000 3.673 3.673 3.673 0.000 3.673 3.673 3.673 0.000" Properties=species:S:1:pos:R:3 pbc="T T T"
La 0.000 0.000 0.000
Cr 3.673 3.673 3.673
Hg 1.836 1.836 1.836
Hg 5.509 5.509 5.509
```

Fermi-level density of states	0.476	states/eV per atom
formation enthalpy at 0 K	-0.08	eV per atom
E_tot	-15.5	eV for the cell shown

Below is a relaxed structure of RbNa2Sr2Br7, with properties calculated at the PBE level.

Geometry as extended XYZ:
```
12
Lattice="-3.040 12.285 3.040 3.040 -12.285 3.040 3.040 12.285 -3.040" Properties=species:S:1:pos:R:3 pbc="T T T"
Rb 0.000 0.000 0.000
Na 3.040 6.127 -0.782
Na 0.000 6.158 2.259
Sr 3.040 -2.996 2.294
Sr 3.040 2.996 2.294
Br 3.040 -6.032 2.259
Br 3.040 9.303 -0.827
Br 3.040 0.000 1.967
Br 0.000 2.982 2.213
Br 3.040 6.032 2.259
Br 0.000 9.236 2.275
Br 0.000 15.334 2.275
```

formation energy from raw total energies	-1.850	eV/atom
Fermi-level density of states	0.000	states/eV per atom
E_tot	-40.9	eV for the cell shown

Below is a relaxed structure of K2Ag2S, with properties calculated at the PBE level.

Geometry as extended XYZ:
```
5
Lattice="-3.249 3.249 3.739 3.249 -3.249 3.739 3.249 3.249 -3.739" Properties=species:S:1:pos:R:3 pbc="T T T"
K 3.249 0.000 1.870
K 0.000 3.249 1.870
Ag 0.000 0.000 1.301
Ag 0.000 0.000 6.178
S 0.000 0.000 3.739
```

formation energy from raw total energies	-0.303	eV/atom
Fermi-level density of states	0.000	states/eV per atom
E_tot	-13.5	eV for the cell shown